(1)
Here is an optimized crystal structure of Ho2TmH from the Alexandria database. Energies are from PBE.

Computed properties:
Distance to the lowest polymorph of the same formula, meV/atom: 0
VASP energy, eV/atom: -4.43
Mass density, Mg/m³: 9.00
Total magnetic moment, μB/f.u.: 0.00

Cell: 8.6121 8.6121 8.6121 Å, 23.91 23.91 23.91°
Closest atoms and distances in Å follow each position.
Fractional coordinates of all 4 atoms:
Ho  0.2210  0.2210  0.2210  3 H 2.47
Ho  0.7790  0.7790  0.7790  3 H 2.47
Tm  0.0000  0.0000  0.0000  6 Ho 3.49, 6 Tm 3.57
H  0.5000  0.5000  0.5000  6 Ho 2.47


(2)
Here is an optimized crystal structure of Sm12Tm7Sc from the Alexandria database. Energies are from PBE.

Computed properties:
Distance to the lowest polymorph of the same formula, meV/atom: 53
ΔH_f (0 K), eV per atom: 0.22
VASP energy, eV/atom: -4.50
Mass density, Mg/m³: 7.55
Total magnetic moment, μB/f.u.: 0.00

Cell: 11.4115 11.4115 11.4115 Å, 116.88 116.88 116.88°
Closest atoms and distances in Å follow each position.
Fractional coordinates of all 20 atoms:
Sm  0.0005  0.4140  0.5863  5 Sm 3.35-3.71, 2 Tm 3.38
Sm  0.9995  0.5860  0.4137  5 Sm 3.35-3.71, 2 Tm 3.38
Sm  0.0806  0.0813  0.4326  4 Tm 3.30-3.55, 1 Sm 3.35
Sm  0.0813  0.4326  0.0806  4 Tm 3.30-3.55, 1 Sm 3.35
Sm  0.4137  0.9995  0.5860  5 Sm 3.35-3.71, 2 Tm 3.38
Sm  0.4140  0.5863  0.0005  5 Sm 3.35-3.71, 2 Tm 3.38
Sm  0.4326  0.0806  0.0813  4 Tm 3.30-3.55, 1 Sm 3.35
Sm  0.5674  0.9194  0.9187  4 Tm 3.30-3.55, 1 Sm 3.35
Sm  0.5863  0.0005  0.4140  5 Sm 3.35-3.71, 2 Tm 3.38
Sm  0.5860  0.4137  0.9995  5 Sm 3.35-3.71, 2 Tm 3.38
Sm  0.9187  0.5674  0.9194  4 Tm 3.30-3.55, 1 Sm 3.35
Sm  0.9194  0.9187  0.5674  4 Tm 3.30-3.55, 1 Sm 3.35
Tm  0.0000  0.0000  0.0000  2 Sc 3.06, 6 Tm 3.26
Tm  0.1410  0.3810  0.3804  1 Sc 2.95, 1 Tm 3.26, 1 Sm 3.30
Tm  0.3804  0.1410  0.3810  1 Sc 2.95, 1 Tm 3.26, 1 Sm 3.30
Tm  0.3810  0.3804  0.1410  1 Sc 2.95, 1 Tm 3.26, 1 Sm 3.30
Tm  0.6190  0.6196  0.8590  1 Sc 2.95, 1 Tm 3.26, 1 Sm 3.30
Tm  0.6196  0.8590  0.6190  1 Sc 2.95, 1 Tm 3.26, 1 Sm 3.30
Tm  0.8590  0.6190  0.6196  1 Sc 2.95, 1 Tm 3.26, 1 Sm 3.30
Sc  0.5000  0.5000  0.5000  8 Tm 2.95-3.06


Question: Which of these has the lowest VASP energy?
Answer: Sm12Tm7Sc


Copy entry 1 word for word.
Here is an optimized crystal structure of Ho2TmH from the Alexandria database. Energies are from PBE.

Computed properties:
Distance to the lowest polymorph of the same formula, meV/atom: 0
VASP energy, eV/atom: -4.43
Mass density, Mg/m³: 9.00
Total magnetic moment, μB/f.u.: 0.00

Cell: 8.6121 8.6121 8.6121 Å, 23.91 23.91 23.91°
Closest atoms and distances in Å follow each position.
Fractional coordinates of all 4 atoms:
Ho  0.2210  0.2210  0.2210  3 H 2.47
Ho  0.7790  0.7790  0.7790  3 H 2.47
Tm  0.0000  0.0000  0.0000  6 Ho 3.49, 6 Tm 3.57
H  0.5000  0.5000  0.5000  6 Ho 2.47


Question: What is the mass density in the second record?
Answer: 7.55 Mg/m³